1.
A plane-wave DFT calculation with GGA-PBE was carried out for Nd5In after structural relaxation.

Lattice parameters (Å, degrees): 8.2120 8.2120 5.0067 90.00 90.00 144.59
With the nearest neighbours (Å) after each atom.
Fractional coordinates of all 6 atoms:
Nd (0.0000, 0.0000, 0.0000)  4 In 3.54, 8 Nd 3.56-3.57
Nd (0.1623, 0.8377, 0.5000)  10 Nd 3.54-3.71, 2 In 3.56
Nd (0.3374, 0.6626, 0.0000)  10 Nd 3.54-3.71, 2 In 3.57
Nd (0.6626, 0.3374, 0.0000)  10 Nd 3.54-3.71, 2 In 3.57
Nd (0.8377, 0.1623, 0.5000)  10 Nd 3.54-3.71, 2 In 3.56
In (0.5000, 0.5000, 0.5000)  12 Nd 3.54-3.57

Computed properties:
**SG**: Cmmm, No. 65
**Final energy**: -27.5 eV/f.u.
**Energy above the lowest structure with this stoichiometry**: 0.0 meV/atom

2.
A plane-wave DFT calculation with GGA-PBE was carried out for Nd3In after structural relaxation.

Lattice parameters (Å, degrees): 5.6200 5.6200 5.6200 60.00 60.00 60.00
With the nearest neighbours (Å) after each atom.
Fractional coordinates of all 4 atoms:
Nd (0.0000, 0.0000, 0.0000)  8 Nd 3.44
Nd (0.2500, 0.2500, 0.2500)  4 In 3.44, 4 Nd 3.44
Nd (0.7500, 0.7500, 0.7500)  4 In 3.44, 4 Nd 3.44
In (0.5000, 0.5000, 0.5000)  8 Nd 3.44

Computed properties:
**SG**: Fm-3m, No. 225
**Final energy**: -17.6 eV/f.u.

3.
A plane-wave DFT calculation with GGA-PBE was carried out for Nd4In after structural relaxation.

Lattice parameters (Å, degrees): 9.4899 9.4899 9.4899 146.97 136.92 55.33
With the nearest neighbours (Å) after each atom.
Fractional coordinates of all 10 atoms:
Nd (0.0000, 0.0000, 0.0000)  8 Nd 3.35-3.63, 4 In 3.71
Nd (0.1492, 0.3992, 0.7500)  3 In 3.49-3.55, 10 Nd 3.63-3.82
Nd (0.2117, 0.1995, 0.0122)  4 Nd 3.19-3.35, 2 In 3.50
Nd (0.3127, 0.8005, 0.5122)  4 Nd 3.19-3.35, 2 In 3.50
Nd (0.5000, 0.0000, 0.5000)  8 Nd 3.35-3.63, 4 In 3.71
Nd (0.6873, 0.1995, 0.4878)  4 Nd 3.19-3.35, 2 In 3.50
Nd (0.7883, 0.8005, 0.9878)  4 Nd 3.19-3.35, 2 In 3.50
Nd (0.8508, 0.6008, 0.2500)  3 In 3.49-3.55, 10 Nd 3.63-3.82
In (0.3603, 0.6103, 0.7500)  13 Nd 3.49-3.71
In (0.6397, 0.3897, 0.2500)  13 Nd 3.49-3.71

Computed properties:
**SG**: Imma, No. 74
**Final energy**: -22.5 eV/f.u.
**Energy above the lowest structure with this stoichiometry**: 32.4 meV/atom

4.
A plane-wave DFT calculation with GGA-PBE was carried out for Nd4In after structural relaxation.

Lattice parameters (Å, degrees): 12.4113 12.4113 12.4113 162.88 162.88 24.30
With the nearest neighbours (Å) after each atom.
Fractional coordinates of all 5 atoms:
Nd (0.0876, 0.0876, 0.0000)  4 In 3.37, 8 Nd 3.69-3.71
Nd (0.3040, 0.3040, 0.0000)  12 Nd 3.69-3.71
Nd (0.6960, 0.6960, 0.0000)  12 Nd 3.69-3.71
Nd (0.9124, 0.9124, 0.0000)  4 In 3.37, 8 Nd 3.69-3.71
In (0.5000, 0.5000, 0.0000)  8 Nd 3.37, 4 In 3.69

Computed properties:
**SG**: I4/mmm, No. 139
**Final energy**: -22.7 eV/f.u.
**Energy above the lowest structure with this stoichiometry**: 0.0 meV/atom

5.
A plane-wave DFT calculation with GGA-PBE was carried out for Nd3In5 after structural relaxation.

Lattice parameters (Å, degrees): 6.7631 6.7631 4.8874 90.00 90.00 93.60
With the nearest neighbours (Å) after each atom.
Fractional coordinates of all 8 atoms:
Nd (0.0000, 0.0000, 0.0000)  8 In 3.27-3.38, 4 Nd 3.65
Nd (0.2743, 0.7257, 0.5000)  10 In 3.31-3.47, 2 Nd 3.65
Nd (0.7257, 0.2743, 0.5000)  10 In 3.31-3.47, 2 Nd 3.65
In (0.0000, 0.5000, 0.0000)  6 Nd 3.37-3.38, 6 In 3.38-3.47
In (0.2353, 0.2353, 0.5000)  6 Nd 3.27-3.47, 6 In 3.46-3.47
In (0.5000, 0.0000, 0.0000)  6 Nd 3.37-3.38, 6 In 3.38-3.47
In (0.5000, 0.5000, 0.0000)  4 Nd 3.31, 8 In 3.38-3.46
In (0.7647, 0.7647, 0.5000)  6 Nd 3.27-3.47, 6 In 3.46-3.47

Computed properties:
**SG**: Cmmm, No. 65
**Final energy**: -31.6 eV/f.u.
**Energy above the lowest structure with this stoichiometry**: 64.3 meV/atom

6.
A plane-wave DFT calculation with GGA-PBE was carried out for Nd11In9Ni4 after structural relaxation.

Lattice parameters (Å, degrees): 13.3986 13.3986 3.7803 90.00 90.00 112.57
With the nearest neighbours (Å) after each atom.
Fractional coordinates of all 24 atoms:
Nd (0.0000, 0.0000, 0.0000)  8 In 3.31, 2 Nd 3.60
Nd (0.0787, 0.4166, 0.0000)  2 Ni 2.84
Nd (0.1617, 0.8383, 0.0000)  8 In 3.34-3.57, 3 Nd 3.60-3.69
Nd (0.3130, 0.3130, 0.0000)  4 Ni 2.99
Nd (0.3745, 0.6255, 0.0000)  4 Ni 3.00
Nd (0.4166, 0.0787, 0.0000)  2 Ni 2.84
Nd (0.5834, 0.9213, 0.0000)  2 Ni 2.84
Nd (0.6255, 0.3745, 0.0000)  4 Ni 3.00
Nd (0.6870, 0.6870, 0.0000)  4 Ni 2.99
Nd (0.8383, 0.1617, 0.0000)  8 In 3.34-3.57, 3 Nd 3.60-3.69
Nd (0.9213, 0.5834, 0.0000)  2 Ni 2.84
In (0.0800, 0.2199, 0.5000)  1 Ni 3.02, 1 In 3.12, 4 Nd 3.25-3.31
In (0.1615, 0.6324, 0.5000)  1 In 3.07, 1 Ni 3.08, 4 Nd 3.27-3.34
In (0.2199, 0.0800, 0.5000)  1 Ni 3.02, 1 In 3.12, 4 Nd 3.25-3.31
In (0.3676, 0.8385, 0.5000)  1 In 3.07, 1 Ni 3.08, 4 Nd 3.27-3.34
In (0.5000, 0.5000, 0.5000)  4 Ni 3.20, 8 Nd 3.36-3.38
In (0.6324, 0.1615, 0.5000)  1 In 3.07, 1 Ni 3.08, 4 Nd 3.27-3.34
In (0.7801, 0.9200, 0.5000)  1 Ni 3.02, 1 In 3.12, 4 Nd 3.25-3.31
In (0.8385, 0.3676, 0.5000)  1 In 3.07, 1 Ni 3.08, 4 Nd 3.27-3.34
In (0.9200, 0.7801, 0.5000)  1 Ni 3.02, 1 In 3.12, 4 Nd 3.25-3.31
Ni (0.2464, 0.4486, 0.5000)  6 Nd 2.84-3.00, 2 In 3.02-3.08
Ni (0.4486, 0.2464, 0.5000)  6 Nd 2.84-3.00, 2 In 3.02-3.08
Ni (0.5514, 0.7536, 0.5000)  6 Nd 2.84-3.00, 2 In 3.02-3.08
Ni (0.7536, 0.5514, 0.5000)  6 Nd 2.84-3.00, 2 In 3.02-3.08

Computed properties:
**SG**: Cmmm, No. 65
**Final energy**: -111.9 eV/f.u.

Number 1: total moment 0.00 Bohr magnetons per cell. Number 2: total moment 1.30 Bohr magnetons per cell. Number 3: total moment 0.00 Bohr magnetons per cell. Number 4: total moment 0.00 Bohr magnetons per cell. Number 5: total moment 0.00 Bohr magnetons per cell. Number 6: total moment 0.00 Bohr magnetons per cell.